# Mn2NiP | the Alexandria database | PBE-GGA | relaxed
data_Mn2NiP
_chemical_formula_sum 'Mn4 Ni2 P2'
_cell_length_a 3.376
_cell_length_b 2.922
_cell_length_c 9.846
_cell_angle_alpha 90.00
_cell_angle_beta 90.00
_cell_angle_gamma 90.00
_space_group_name_H-M_alt 'A m m 2'
_space_group_IT_number 38
_space_group_name_Hall 'A 2 -2'
loop_
_atom_site_label
_atom_site_type_symbol
_atom_site_fract_x
_atom_site_fract_y
_atom_site_fract_z
_atom_site_occupancy
Mn1 Mn 0.000 0.000 0.000 1
Mn2 Mn 0.500 0.000 0.342 1
Ni1 Ni 0.500 0.000 0.614 1
P1 P 0.000 0.000 0.758 1
# E = -7.6159 eV per atom
# DFT formation energy = -0.933 eV/f.u.